No. 1
7
Lattice="-1.3050 -2.6284 3.7965 -1.2281 -3.6056 -2.9184 5.4688 -5.7881 0.9049" Properties=species:S:1:pos:R:3 comment="Hf4Al2Rh PBE optimized geometry" mass_density_g_cm3=8.650 e_form_mev_per_atom=315 spacegroup="I4/mmm (139)" pbc="T T T"
Rh 0.0000 0.0000 0.0000
Hf 3.0155 -4.8152 0.7352
Hf -0.0797 -7.2070 1.0478
Hf -0.6140 -1.8028 -1.4592
Hf -0.6525 -1.3142 1.8983
Al 0.4399 -3.7938 0.5571
Al 2.4958 -8.2284 1.2260



No. 2
3
Lattice="-1.6227 2.1177 -1.0351 -2.1430 -0.8021 1.7186 4.2698 3.5964 4.6200" Properties=species:S:1:pos:R:3 comment="HfAlRh PBE optimized geometry" mass_density_g_cm3=8.986 e_form_mev_per_atom=192 spacegroup="I4mm (107)" pbc="T T T"
Rh 0.2594 4.4759 4.7949
Hf 0.6026 1.0741 1.2527
Al -0.5699 2.9979 3.0710